HoTm3Tl4Se8: optimized geometry, GGA-PBE.

Cell and atoms, written as POSCAR:
```
HoTm3Tl4Se8
1.0
4.1438 2.3924 7.7805
-4.1438 2.3924 7.7805
0.0000 -4.7848 7.7805
Ho Tm Tl Se
1 3 4 8
Cartesian
0.0000 0.0000 0.0000
-2.0719 -1.1962 7.7805
-2.0719 1.1962 15.5609
0.0000 2.3924 7.7805
-4.1437 0.0000 11.6707
-2.0719 1.1962 3.8902
2.0719 1.1962 3.8902
0.0000 0.0000 11.6707
0.0000 -2.3792 9.3524
-2.0604 1.1896 9.3524
0.0000 0.0000 6.2154
-2.0605 -1.1896 13.9890
2.0604 1.1896 9.3524
0.0000 0.0000 17.1260
2.0605 -1.1896 13.9890
0.0000 2.3792 13.9890
```

theoretical density: 7.61 g/cm3
uncorrected energy: -4.835 eV per atom
SG: R-3m (166)
ΔE_f (raw): -1.38 eV/atom